Compound: KMn2P
Source: the Alexandria database
Functional: PBE-GGA
Structure: optimized geometry

The symmetry is P4mm, No. 99.

a = 3.148 Å, b = 3.148 Å, c = 7.868 Å
α = 90.00°, β = 90.00°, γ = 90.00°
Fractional coordinates of all 4 atoms:
K 0.500 0.500 0.715
Mn 0.000 0.000 0.091
Mn 0.500 0.500 0.288
P 0.000 0.000 0.406



Compound: CaMoRu2
Source: the Alexandria database
Functional: PBE-GGA
Structure: optimized geometry

The symmetry is R-3m, No. 166.

a = 9.303 Å, b = 9.303 Å, c = 9.303 Å
α = 18.01°, β = 18.01°, γ = 18.01°
Fractional coordinates of all 4 atoms:
Ru 0.008 0.008 0.008
Ru 0.492 0.492 0.492
Mo 0.750 0.750 0.750
Ca 0.250 0.250 0.250



Compound: Nb2GaFe
Source: the Alexandria database
Functional: PBE-GGA
Structure: optimized geometry

The symmetry is P4/mmm, No. 123.

a = 2.854 Å, b = 2.854 Å, c = 7.651 Å
α = 90.00°, β = 90.00°, γ = 90.00°
Fractional coordinates of all 4 atoms:
Nb 0.000 0.000 0.780
Nb 0.000 0.000 0.220
Fe 0.500 0.500 0.000
Ga 0.500 0.500 0.500



Compound: AlAs2P
Source: the Alexandria database
Functional: PBE-GGA
Structure: optimized geometry

The symmetry is P4mm, No. 99.

a = 3.173 Å, b = 3.173 Å, c = 6.820 Å
α = 90.00°, β = 90.00°, γ = 90.00°
Fractional coordinates of all 4 atoms:
P 0.000 0.000 0.523
As 0.000 0.000 0.980
As 0.500 0.500 0.278
Al 0.500 0.500 0.718



Compound: AcPmSmLu
Source: the Alexandria database
Functional: PBE-GGA
Structure: optimized geometry

The symmetry is F-43m, No. 216.

a = 5.867 Å, b = 5.867 Å, c = 5.867 Å
α = 60.00°, β = 60.00°, γ = 60.00°
Fractional coordinates of all 4 atoms:
Ac 0.500 0.500 0.500
Lu 0.000 0.000 0.000
Sm 0.250 0.250 0.250
Pm 0.750 0.750 0.750



Compound: AcTbIr
Source: the Alexandria database
Functional: PBE-GGA
Structure: optimized geometry

The symmetry is I4/mmm, No. 139.

a = 6.038 Å, b = 9.060 Å, c = 9.060 Å
α = 83.62°, β = 70.53°, γ = 70.53°
Fractional coordinates of all 12 atoms:
Tb 0.163 0.000 0.674
Tb 0.837 0.326 0.000
Tb 0.837 0.000 0.326
Tb 0.163 0.674 0.000
Ir 0.000 0.316 0.684
Ir 0.684 0.316 0.316
Ir 0.316 0.684 0.684
Ir 0.000 0.684 0.316
Ac 0.500 0.324 0.676
Ac 0.176 0.324 0.324
Ac 0.824 0.676 0.676
Ac 0.500 0.676 0.324



Results for energy of formation: 0.6; 1.7; -0.5; 1.2; 0.7; -1.2 (in eV per formula unit, following the order of the records).
Results for calculated density: 3.8; 8.4; 8.3; 5.0; 8.1; 8.7 (in g/cm³, following the order of the records).
Results for VASP energy: -6.06; -7.43; -8.04; -4.31; -4.35; -6.28 (in eV/atom, following the order of the records).